No. 1
## Ag3Sb4S8 (PBE)

Data for an optimized crystal structure of Ag3Sb4S8.

Cell lengths 7.7962, 7.7454, 7.7454 Å; angles 91.35, 119.12, 119.12 degrees
With the nearest neighbours (Å) after each atom.
Fractional positions:
S  0.5000  0.7510  0.2490  3 Ag 2.71-2.78, 3 Sb 2.76-2.80
S  0.4868  0.2457  0.2457  3 Ag 2.68-2.77, 2 Sb 2.72-2.73
S  0.0000  0.2459  0.7541  3 Sb 2.71-2.73, 2 Ag 2.80
S  0.0027  0.7463  0.7463  4 Sb 2.76-2.78, 1 Ag 2.81
S  0.5000  0.2490  0.7510  3 Ag 2.71-2.78, 3 Sb 2.76-2.80
S  0.5132  0.7543  0.7543  3 Ag 2.68-2.77, 2 Sb 2.72-2.73
S  0.9973  0.2537  0.2537  4 Sb 2.76-2.78, 1 Ag 2.81
S  0.0000  0.7541  0.2459  3 Sb 2.71-2.73, 2 Ag 2.80
Sb  0.0000  0.5000  0.0000  6 S 2.71-2.80
Sb  0.5000  0.0000  0.0000  6 S 2.73-2.78
Sb  0.0000  0.0000  0.0000  6 S 2.72-2.76
Sb  0.0000  0.0000  0.5000  6 S 2.71-2.80
Ag  0.5000  0.5000  0.0000  6 S 2.71-2.80
Ag  0.5000  0.5000  0.5000  6 S 2.68-2.81
Ag  0.5000  0.0000  0.5000  6 S 2.71-2.80

The calculation puts the raw formation energy at -0.107 eV per atom. Its density of states at the Fermi level is 0.58 states/eV per atom. Its total magnetization is 0.00 μB/cell. Its space-group type is C2/m (12).

***

No. 2
## MnCu4Au (PBE)

Data for an optimized crystal structure of MnCu4Au.

Cell lengths 3.8356, 5.8507, 3.8127 Å; angles 90.00, 90.00, 109.09 degrees
With the nearest neighbours (Å) after each atom.
Fractional positions:
Mn  0.0000  0.0000  0.0000  4 Au 2.70, 8 Cu 2.70-2.71
Cu  0.1737  0.3469  0.5000  8 Cu 2.55-2.70, 2 Mn 2.70, 2 Au 2.71
Cu  0.8263  0.6531  0.5000  8 Cu 2.55-2.70, 2 Mn 2.70, 2 Au 2.71
Cu  0.3265  0.6535  0.0000  8 Cu 2.55-2.70, 2 Au 2.70, 2 Mn 2.71
Cu  0.6735  0.3465  0.0000  8 Cu 2.55-2.70, 2 Au 2.70, 2 Mn 2.71
Au  0.5000  0.0000  0.5000  8 Cu 2.70-2.71, 4 Mn 2.70

For the formation energy, the calculation gives 0.02 eV per atom. Its density of states at the Fermi level is 0.32 states/eV per atom. Its total magnetization is 4.10 μB/cell. As for the relative energy among the computed polymorphs: 0 meV per atom. Its space-group type is Cmmm (65).

***

No. 3
## CeTl2HgSe4 (PBE)

Data for an optimized crystal structure of CeTl2HgSe4.

Cell lengths 4.2182, 8.1679, 7.3681 Å; angles 69.76, 90.00, 90.00 degrees
With the nearest neighbours (Å) after each atom.
Fractional positions:
Se  0.5000  0.7202  0.2851  2 Ce 2.87, 1 Tl 3.20, 1 Hg 3.20
Se  0.0000  0.6989  0.7653  2 Hg 2.85, 1 Ce 2.94
Se  0.0000  0.3011  0.2347  2 Hg 2.85, 1 Ce 2.94
Se  0.5000  0.2798  0.7149  2 Ce 2.87, 1 Tl 3.20, 1 Hg 3.20
Ce  0.0000  0.5000  0.5000  6 Se 2.87-2.94
Tl  0.0000  0.0000  0.0000  6 Se 3.28-3.46
Tl  0.5000  0.0000  0.5000  6 Se 3.20-3.32
Hg  0.5000  0.5000  0.0000  4 Se 2.85

The calculation puts the raw formation energy at -0.784 eV per atom. Its density of states at the Fermi level is 0.27 states/eV per atom. Its total magnetization is 0.15 μB/cell. Its space-group type is P2/m (10).

***

No. 4
## TbPmBr (PBE)

Data for an optimized crystal structure of TbPmBr.

Cell lengths 3.7721, 3.7721, 7.4361 Å; angles 90.00, 90.00, 120.00 degrees
With the nearest neighbours (Å) after each atom.
Fractional positions:
Pm  0.0000  0.0000  0.0141  3 Br 3.26, 3 Tb 3.50
Tb  0.3333  0.6667  0.6464  3 Br 3.15, 3 Pm 3.50
Br  0.6667  0.3333  0.3395  3 Tb 3.15, 3 Pm 3.26

The calculation puts the raw formation energy at -0.746 eV per atom. Its density of states at the Fermi level is 1.16 states/eV per atom. Its total magnetization is 0.41 μB/cell. Its space-group type is P3m1 (156).

***

No. 5
## MgMo2W (PBE)

Data for an optimized crystal structure of MgMo2W.

Cell lengths 4.8869, 4.8869, 5.2798 Å; angles 88.13, 88.13, 31.57 degrees
With the nearest neighbours (Å) after each atom.
Fractional positions:
Mg  0.2489  0.2489  0.2480  2 Mg 2.66, 7 Mo 2.74-2.96, 3 W 2.78-2.94
Mo  0.9958  0.9958  0.0046  3 Mo 2.66-2.70, 3 Mg 2.74-2.93, 2 W 2.93
Mo  0.7518  0.7518  0.7485  3 Mo 2.66-2.70, 1 W 2.72, 4 Mg 2.95-2.96
W  0.5035  0.5035  0.4989  2 W 2.66, 3 Mo 2.72-2.93, 3 Mg 2.78-2.94

For the formation energy, the calculation gives 0.40 eV per atom. Its density of states at the Fermi level is 0.70 states/eV per atom. Its total magnetization is 0.00 μB/cell. Its space-group type is Cm (8).

***

No. 6
## ThTl2InTe4 (PBE)

Data for an optimized crystal structure of ThTl2InTe4.

Cell lengths 4.4600, 8.0600, 8.4996 Å; angles 107.87, 90.00, 90.00 degrees
With the nearest neighbours (Å) after each atom.
Fractional positions:
Tl  0.5000  0.0000  0.5000  6 Te 3.48-3.56
Tl  0.0000  0.5000  0.5000  6 Te 3.46-3.47
Te  0.5000  0.2440  0.2146  1 Th 3.15, 2 In 3.16, 2 Tl 3.47
Te  0.0000  0.7348  0.2202  2 Th 3.14, 1 In 3.24, 3 Tl 3.46-3.48
Te  0.5000  0.7560  0.7854  1 Th 3.15, 2 In 3.16, 2 Tl 3.47
Te  0.0000  0.2652  0.7798  2 Th 3.14, 1 In 3.24, 3 Tl 3.46-3.48
In  0.0000  0.0000  0.0000  6 Te 3.16-3.24
Th  0.5000  0.5000  0.0000  6 Te 3.14-3.15

The calculation puts the raw formation energy at -0.640 eV per atom. Its density of states at the Fermi level is 0.33 states/eV per atom. Its total magnetization is 0.00 μB/cell. Its space-group type is P2/m (10).

***

No. 7
## Fe2TcH (PBE)

Data for an optimized crystal structure of Fe2TcH.

Cell lengths 4.9612, 4.9612, 4.7495 Å; angles 58.51, 58.51, 90.00 degrees
With the nearest neighbours (Å) after each atom.
Fractional positions:
Fe  0.3750  0.5268  0.7500  2 H 1.55
Fe  0.2768  0.6250  0.2500  2 H 1.55
Fe  0.4732  0.1250  0.2500  2 H 1.55
Fe  0.8750  0.7232  0.7500  2 H 1.55
Tc  0.7500  0.2500  0.5000  8 Fe 2.48-2.75
Tc  0.0000  0.0000  0.0000  8 Fe 2.48-2.75
H  0.5000  0.5000  0.0000  4 Fe 1.55
H  0.2500  0.7500  0.5000  4 Fe 1.55

Its density of states at the Fermi level is 1.24 states/eV per atom. Its total magnetization is 0.00 μB/cell. As for the relative energy among the computed polymorphs: 284 meV per atom. Its space-group type is I-42d (122).

***

No. 8
## CuTcSb2 (PBE)

Data for an optimized crystal structure of CuTcSb2.

Cell lengths 4.4140, 3.3726, 5.2580 Å; angles 71.22, 90.00, 90.00 degrees
With the nearest neighbours (Å) after each atom.
Fractional positions:
Sb  0.0000  0.9842  0.9049  3 Tc 2.74-2.82, 4 Cu 2.83
Sb  0.5000  0.2744  0.3274  3 Cu 2.64-2.88, 4 Tc 2.87
Cu  0.5000  0.5397  0.7968  7 Sb 2.64-2.88, 2 Tc 2.74
Tc  0.0000  0.7018  0.4709  2 Cu 2.74, 7 Sb 2.74-2.87

The calculation puts the raw formation energy at 0.108 eV per atom. Its density of states at the Fermi level is 0.59 states/eV per atom. Its total magnetization is 0.00 μB/cell. As for the relative energy among the computed polymorphs: 0 meV per atom. Its space-group type is Pm (6).

***

No. 9
## Na8CdGe2 (PBE)

Data for an optimized crystal structure of Na8CdGe2.

Cell lengths 5.1052, 7.5901, 9.2975 Å; angles 113.27, 105.93, 90.00 degrees
With the nearest neighbours (Å) after each atom.
Fractional positions:
Na  0.3925  0.5348  0.7850  2 Ge 2.98, 4 Na 3.21-3.34, 1 Cd 3.25
Na  0.3229  0.0602  0.6458  3 Ge 3.04-3.24, 2 Na 3.29-3.38, 1 Cd 3.38
Na  0.6771  0.9398  0.3542  3 Ge 3.04-3.24, 2 Na 3.29-3.38, 1 Cd 3.38
Na  0.9812  0.2629  0.9624  1 Ge 3.00, 2 Na 3.34, 2 Cd 3.34
Na  0.1969  0.2923  0.3938  3 Ge 3.09-3.38, 2 Na 3.21-3.38
Na  0.0188  0.7371  0.0376  1 Ge 3.00, 2 Na 3.34, 2 Cd 3.34
Na  0.6075  0.4652  0.2150  2 Ge 2.98, 4 Na 3.21-3.34, 1 Cd 3.25
Na  0.8031  0.7077  0.6062  3 Ge 3.09-3.38, 2 Na 3.21-3.38
Ge  0.1739  0.6746  0.3477  7 Na 2.98-3.24
Ge  0.8261  0.3254  0.6523  7 Na 2.98-3.24
Cd  0.5000  0.0000  0.0000  8 Na 3.25-3.38

For the formation energy, the calculation gives -0.01 eV per atom. Its density of states at the Fermi level is 0.43 states/eV per atom. Its total magnetization is 0.00 μB/cell. Its space-group type is C2/m (12).

***

No. 10
## CdOsS2 (PBE)

Data for an optimized crystal structure of CdOsS2.

Cell lengths 5.9929, 5.9929, 6.4257 Å; angles 62.20, 62.20, 90.00 degrees
With the nearest neighbours (Å) after each atom.
Fractional positions:
Os  0.0000  0.0000  0.0000  4 S 2.26
Os  0.7500  0.2500  0.5000  4 S 2.26
Cd  0.5000  0.5000  0.0000  4 S 2.64
Cd  0.2500  0.7500  0.5000  4 S 2.64
S  0.6774  0.1250  0.2500  2 Os 2.26
S  0.3750  0.3226  0.7500  2 Os 2.26
S  0.0726  0.6250  0.2500  2 Os 2.26
S  0.8750  0.9274  0.7500  2 Os 2.26

The calculation puts the raw formation energy at 0.087 eV per atom. Its density of states at the Fermi level is 0.55 states/eV per atom. Its total magnetization is 0.00 μB/cell. Its space-group type is I-42d (122).

***

No. 11
## SiSb2Pt (PBE)

Data for an optimized crystal structure of SiSb2Pt.

Cell lengths 3.9255, 3.9255, 6.8743 Å; angles 72.91, 72.91, 60.83 degrees
With the nearest neighbours (Å) after each atom.
Fractional positions:
Si  0.7500  0.7500  0.7500  6 Sb 2.82-2.84
Sb  0.9983  0.9983  0.0096  3 Pt 2.75-2.76, 3 Si 2.82-2.84
Sb  0.5017  0.5017  0.4904  3 Pt 2.75-2.76, 3 Si 2.82-2.84
Pt  0.2500  0.2500  0.2500  6 Sb 2.75-2.76

The calculation puts the raw formation energy at -0.031 eV per atom. Its density of states at the Fermi level is 0.40 states/eV per atom. Its total magnetization is 0.00 μB/cell. Its space-group type is C2/m (12).

***

No. 12
## Ta2ZnAgCl (PBE)

Data for an optimized crystal structure of Ta2ZnAgCl.

Cell lengths 4.8248, 4.7978, 4.8248 Å; angles 90.00, 90.00, 90.00 degrees
With the nearest neighbours (Å) after each atom.
Fractional positions:
Ta  0.0000  0.0000  0.5000  2 Zn 2.41
Ta  0.5000  0.0000  0.0000  2 Zn 2.41
Zn  0.0000  0.0000  0.0000  2 Ag 2.40, 4 Ta 2.41
Ag  0.0000  0.5000  0.0000  2 Zn 2.40
Cl  0.5000  0.5000  0.5000  8 Ta 3.40, 4 Ag 3.41

The calculation puts the raw formation energy at 1.481 eV per atom. Its density of states at the Fermi level is 1.03 states/eV per atom. Its total magnetization is 0.00 μB/cell. Its space-group type is P4/mmm (123).